No. 1
# Y4Tl3Co, relaxed, DFT PBE
data_Y4Tl3Co
_chemical_formula_sum 'Y4 Tl3 Co1'
_symmetry_space_group_name_H-M 'P 4/m m m'
_symmetry_Int_Tables_number 123
_symmetry_space_group_name_Hall '-P 4 2'
_cell_length_a 3.5726
_cell_length_b 3.5726
_cell_length_c 15.9015
_cell_angle_alpha 90.00
_cell_angle_beta 90.00
_cell_angle_gamma 90.00
loop_
_atom_site_label
_atom_site_type_symbol
_atom_site_fract_x
_atom_site_fract_y
_atom_site_fract_z
Y1 Y 0.0000 0.0000 0.1010
Y2 Y 0.0000 0.0000 0.3666
Tl1 Tl 0.5000 0.5000 0.2353
Tl2 Tl 0.5000 0.5000 0.5000
Co1 Co 0.5000 0.5000 0.0000
# VASP energy: -5.319 eV/atom
# D(E_F): 4.8 states/eV/f.u.
# Energy of formation from the pure elements: -2.49 eV per formula unit
# ρ: 8.41 Mg/m³

***

No. 2
# Sc3GaO, relaxed, DFT PBE
data_Sc3GaO
_chemical_formula_sum 'Sc12 Ga4 O4'
_symmetry_space_group_name_H-M 'P 1 21/c 1'
_symmetry_Int_Tables_number 14
_cell_length_a 7.9139
_cell_length_b 5.6703
_cell_length_c 8.3994
_cell_angle_alpha 90.00
_cell_angle_beta 113.30
_cell_angle_gamma 90.00
loop_
_symmetry_equiv_pos_as_xyz
'x,y,z'
'-x,-y,-z'
'-x,y+1/2,-z+1/2'
'x,-y+1/2,z+1/2'
loop_
_atom_site_label
_atom_site_type_symbol
_atom_site_fract_x
_atom_site_fract_y
_atom_site_fract_z
Sc1 Sc 0.0551 0.0862 0.3461
Sc2 Sc 0.1918 0.5706 0.5449
Sc3 Sc 0.3635 0.1221 0.7697
Ga1 Ga 0.3853 0.6574 0.8987
O1 O 0.0730 0.2412 0.5957
# VASP energy: -6.781 eV/atom
# D(E_F): 4.0 states/eV/f.u.
# Formation energy (no corrections): -1.3847 eV/atom
# ρ: 4.23 Mg/m³

***

No. 3
# La2YReF, relaxed, DFT PBE
data_La2YReF
_chemical_formula_sum 'La2 Y1 Re1 F1'
_symmetry_space_group_name_H-M 'P 4/m m m'
_symmetry_Int_Tables_number 123
_symmetry_space_group_name_Hall '-P 4 2'
_cell_length_a 5.0103
_cell_length_b 5.0103
_cell_length_c 4.6454
_cell_angle_alpha 90.00
_cell_angle_beta 90.00
_cell_angle_gamma 90.00
loop_
_atom_site_label
_atom_site_type_symbol
_atom_site_fract_x
_atom_site_fract_y
_atom_site_fract_z
La1 La 0.0000 0.5000 0.0000
Y1 Y 0.0000 0.0000 0.5000
Re1 Re 0.5000 0.5000 0.5000
F1 F 0.0000 0.0000 0.0000
# VASP energy: -6.670 eV/atom
# D(E_F): 5.1 states/eV/f.u.
# Formation energy (no corrections): -0.5425 eV/atom
# ρ: 8.14 Mg/m³